Here is an optimized crystal structure of FeCuO2 from Alexandria. Energies are from PBE with a Hubbard U.

Summary:
Raw total energy: -48.170 eV/cell
SG: P6_3/mmc (194)
Volume: 94.0 Å³ per cell

a b c (Å): 3.0675 3.0675 11.5348
angles (deg): 90.00 90.00 120.00
Sites, in units of the cell vectors:
O  0.3333  0.6667  0.4101
O  0.6667  0.3333  0.9101
O  0.6667  0.3333  0.5899
O  0.3333  0.6667  0.0899
Fe  0.0000  0.0000  0.5000
Fe  0.0000  0.0000  0.0000
Cu  0.6667  0.3333  0.7500
Cu  0.3333  0.6667  0.2500